1.
A geometry-optimized Sc2OsBr structure, computed with PBE.

Properties
As for the density of states at the Fermi level: 1.2202 states/eV per atom. The calculation puts the uncorrected formation energy at -0.006 eV per atom.

Cell and atoms, written as POSCAR:
```
Sc2OsBr
1.0
-3.841 -2.076 -4.276
-4.128 -1.269 4.324
-6.306 3.850 -0.571
Sc Br Os
4 2 2
Direct
0.672 0.125 0.250
0.375 0.328 0.750
0.875 0.922 0.750
0.078 0.625 0.250
0.500 0.500 0.000
0.250 0.750 0.500
0.750 0.250 0.500
0.000 0.000 0.000
```

=====

2.
A geometry-optimized RbSr2Cr structure, computed with PBE.

Properties
As for the density of states at the Fermi level: 2.1791 states/eV per atom. The value obtained for the formation enthalpy at 0 K is 618 meV/atom.

Cell and atoms, written as POSCAR:
```
RbSr2Cr
1.0
-1.729 -1.522 5.865
-1.494 4.528 4.119
-5.986 0.756 1.816
Sr Rb Cr
2 1 1
Direct
0.250 0.250 0.250
0.750 0.750 0.750
0.500 0.500 0.500
0.000 0.000 0.000
```